1.
# Tm2TiGe3 PBE-GGA optimized geometry
data_Tm2TiGe3
_chemical_formula_sum 'Tm2 Ti1 Ge3'
_cell_length_a 4.516
_cell_length_b 5.598
_cell_length_c 6.204
_cell_angle_alpha 116.82
_cell_angle_beta 111.34
_cell_angle_gamma 90.00
_space_group_name_H-M_alt 'P 1'
_space_group_IT_number 1
loop_
_space_group_symop_operation_xyz
'x,y,z'
loop_
_atom_site_label
_atom_site_type_symbol
_atom_site_fract_x
_atom_site_fract_y
_atom_site_fract_z
_atom_site_occupancy
Ge1 Ge 0.365 0.365 0.730 1
Ge2 Ge 0.635 0.635 0.270 1
Ge3 Ge 0.000 0.000 0.000 1
Ti1 Ti 0.000 0.500 0.000 1
Tm1 Tm 0.679 0.179 0.357 1
Tm2 Tm 0.321 0.821 0.643 1
# energy of formation	-0.5692	eV per atom
# space-group type	No. 71
# uncorrected energy	-5.684	eV/atom
# ρ	7.8	g/cm3

***

2.
# TmTiGe2 PBE-GGA optimized geometry
data_TmTiGe2
_chemical_formula_sum 'Tm1 Ti1 Ge2'
_cell_length_a 4.154
_cell_length_b 4.154
_cell_length_c 5.902
_cell_angle_alpha 69.40
_cell_angle_beta 69.40
_cell_angle_gamma 60.00
_space_group_name_H-M_alt 'P 1'
_space_group_IT_number 1
loop_
_space_group_symop_operation_xyz
'x,y,z'
loop_
_atom_site_label
_atom_site_type_symbol
_atom_site_fract_x
_atom_site_fract_y
_atom_site_fract_z
_atom_site_occupancy
Tm1 Tm 0.000 0.000 0.000 1
Ti1 Ti 0.500 0.500 0.500 1
Ge1 Ge 0.235 0.235 0.296 1
Ge2 Ge 0.765 0.765 0.704 1
# energy of formation	-0.5790	eV per atom
# space-group type	No. 166
# uncorrected energy	-5.979	eV/atom
# ρ	7.5	g/cm3

***

3.
# Tm2Ti3Ge4 PBE-GGA optimized geometry
data_Tm2Ti3Ge4
_chemical_formula_sum 'Tm4 Ti6 Ge8'
_cell_length_a 6.956
_cell_length_b 7.128
_cell_length_c 7.110
_cell_angle_alpha 90.00
_cell_angle_beta 90.00
_cell_angle_gamma 109.75
_space_group_name_H-M_alt 'P 1'
_space_group_IT_number 1
loop_
_space_group_symop_operation_xyz
'x,y,z'
loop_
_atom_site_label
_atom_site_type_symbol
_atom_site_fract_x
_atom_site_fract_y
_atom_site_fract_z
_atom_site_occupancy
Ti1 Ti 0.000 0.500 0.500 1
Ti2 Ti 0.748 0.255 0.827 1
Ti3 Ti 0.500 0.500 0.000 1
Ti4 Ti 0.248 0.255 0.673 1
Ti5 Ti 0.752 0.745 0.327 1
Ti6 Ti 0.252 0.745 0.173 1
Ge1 Ge 0.362 0.494 0.367 1
Ge2 Ge 0.862 0.494 0.133 1
Ge3 Ge 0.638 0.506 0.633 1
Ge4 Ge 0.643 0.914 0.041 1
Ge5 Ge 0.138 0.506 0.867 1
Ge6 Ge 0.143 0.914 0.459 1
Ge7 Ge 0.357 0.086 0.959 1
Ge8 Ge 0.857 0.086 0.541 1
Tm1 Tm 0.939 0.812 0.829 1
Tm2 Tm 0.439 0.812 0.671 1
Tm3 Tm 0.561 0.188 0.329 1
Tm4 Tm 0.061 0.188 0.171 1
# energy of formation	-0.8013	eV per atom
# space-group type	No. 14
# uncorrected energy	-6.479	eV/atom
# ρ	7.7	g/cm3

***

4.
# TmTi3Ge2 PBE-GGA optimized geometry
data_TmTi3Ge2
_chemical_formula_sum 'Tm2 Ti6 Ge4'
_cell_length_a 3.951
_cell_length_b 8.451
_cell_length_c 8.109
_cell_angle_alpha 118.90
_cell_angle_beta 90.00
_cell_angle_gamma 103.52
_space_group_name_H-M_alt 'P 1'
_space_group_IT_number 1
loop_
_space_group_symop_operation_xyz
'x,y,z'
loop_
_atom_site_label
_atom_site_type_symbol
_atom_site_fract_x
_atom_site_fract_y
_atom_site_fract_z
_atom_site_occupancy
Ge1 Ge 0.483 0.966 0.833 1
Ge2 Ge 0.217 0.435 0.733 1
Ge3 Ge 0.783 0.565 0.267 1
Ge4 Ge 0.517 0.034 0.167 1
Ti1 Ti 0.948 0.896 0.594 1
Ti2 Ti 0.402 0.805 0.309 1
Ti3 Ti 0.052 0.104 0.406 1
Ti4 Ti 0.313 0.626 0.526 1
Ti5 Ti 0.687 0.374 0.474 1
Ti6 Ti 0.598 0.195 0.691 1
Tm1 Tm 0.867 0.734 0.924 1
Tm2 Tm 0.133 0.266 0.076 1
# energy of formation	-0.5093	eV per atom
# space-group type	No. 12
# uncorrected energy	-6.741	eV/atom
# ρ	6.7	g/cm3

***

5.
# TmTiGe PBE-GGA optimized geometry
data_TmTiGe
_chemical_formula_sum 'Tm2 Ti2 Ge2'
_cell_length_a 4.027
_cell_length_b 4.027
_cell_length_c 7.562
_cell_angle_alpha 90.00
_cell_angle_beta 90.00
_cell_angle_gamma 90.00
_space_group_name_H-M_alt 'P 1'
_space_group_IT_number 1
loop_
_space_group_symop_operation_xyz
'x,y,z'
loop_
_atom_site_label
_atom_site_type_symbol
_atom_site_fract_x
_atom_site_fract_y
_atom_site_fract_z
_atom_site_occupancy
Ti1 Ti 0.500 0.500 0.000 1
Ti2 Ti 0.000 0.000 0.000 1
Ge1 Ge 0.000 0.500 0.750 1
Ge2 Ge 0.500 0.000 0.250 1
Tm1 Tm 0.000 0.500 0.342 1
Tm2 Tm 0.500 0.000 0.658 1
# energy of formation	-0.7005	eV per atom
# space-group type	No. 129
# uncorrected energy	-6.362	eV/atom
# ρ	7.8	g/cm3

***

6.
# TmTi2Ge2 PBE-GGA optimized geometry
data_TmTi2Ge2
_chemical_formula_sum 'Tm2 Ti4 Ge4'
_cell_length_a 6.775
_cell_length_b 6.775
_cell_length_c 5.508
_cell_angle_alpha 110.22
_cell_angle_beta 110.22
_cell_angle_gamma 100.35
_space_group_name_H-M_alt 'P 1'
_space_group_IT_number 1
loop_
_space_group_symop_operation_xyz
'x,y,z'
loop_
_atom_site_label
_atom_site_type_symbol
_atom_site_fract_x
_atom_site_fract_y
_atom_site_fract_z
_atom_site_occupancy
Ti1 Ti 0.771 0.060 0.476 1
Ti2 Ti 0.229 0.940 0.524 1
Ti3 Ti 0.560 0.271 0.976 1
Ti4 Ti 0.440 0.729 0.024 1
Ge1 Ge 0.826 0.674 0.250 1
Ge2 Ge 0.174 0.326 0.750 1
Ge3 Ge 0.615 0.885 0.750 1
Ge4 Ge 0.385 0.115 0.250 1
Tm1 Tm 0.111 0.389 0.250 1
Tm2 Tm 0.889 0.611 0.750 1
# energy of formation	-0.3406	eV per atom
# space-group type	No. 15
# uncorrected energy	-6.240	eV/atom
# ρ	6.5	g/cm3